The following is a PBE-GGA calculation of an optimized crystal structure of Mg2ZnCo, from Alexandria via LeMat-Bulk.

Cell: 4.2363 4.2363 3.5023 Å, 90.00 90.00 90.00°
Space group P4/mmm (No. 123)
Asymmetric unit:
1 Mg 0.0000 0.5000 0.0000 [2 per cell]
2 Zn 0.0000 0.0000 0.5000 [1 per cell]
3 Co 0.5000 0.5000 0.5000 [1 per cell]

As for the total energy: -2.836 eV per atom. The value obtained for the total magnetization is 0.88 μB/f.u.

The following is a PBE-GGA calculation of an optimized crystal structure of MgZn8Co4, from Alexandria via LeMat-Bulk.

Cell: 8.5067 8.5067 5.0311 Å, 90.00 90.00 90.00°
Space group I4/mmm (No. 139)
Asymmetric unit:
1 Mg 0.0000 0.0000 0.0000 [2 per cell]
2 Zn 0.0000 0.2241 0.5000 [8 per cell]
3 Zn 0.0000 0.3274 0.0000 [8 per cell]
4 Co 0.2500 0.2500 0.2500 [8 per cell]

As for the total energy: -3.167 eV per atom. The value obtained for the total magnetization is 3.73 μB/f.u.

The following is a PBE-GGA calculation of an optimized crystal structure of Mg2ZnCo, from Alexandria via LeMat-Bulk.

Cell: 2.9123 4.2899 5.3805 Å, 90.00 105.40 90.00°
Space group Pm (No. 6)
Asymmetric unit:
1 Mg 0.0000 0.0000 0.0000 [1 per cell]
2 Mg 0.3244 0.5000 0.6566 [1 per cell]
3 Zn 0.6054 0.5000 0.2125 [1 per cell]
4 Co 0.7267 0.0000 0.4619 [1 per cell]

As for the total energy: -2.845 eV per atom. The value obtained for the total magnetization is 0.75 μB/f.u.